--- 1 ---
VASP calculation (PBE-GGA) on a geometry-optimized Mg2TiTl structure.

- Spin magnetization: 1.1 μB/f.u.
- N(E_F): 0.58 states/eV per atom

The structure in CIF format:
```
data_Mg2TiTl
_cell_length_a 7.958
_cell_length_b 7.958
_cell_length_c 5.852
_cell_angle_alpha 90.00
_cell_angle_beta 90.00
_cell_angle_gamma 90.00
_space_group_name_H-M_alt 'I -4 2 d'
_space_group_IT_number 122
_space_group_name_Hall 'I -4 2bw'
loop_
_atom_site_label
_atom_site_type_symbol
_atom_site_fract_x
_atom_site_fract_y
_atom_site_fract_z
Mg1 Mg 0.242 0.250 0.125
Ti1 Ti 0.000 0.000 0.500
Tl1 Tl 0.000 0.000 0.000
```

--- 2 ---
VASP calculation (PBE-GGA) on a geometry-optimized Mg2TiTl structure.

- Spin magnetization: 2.3 μB/f.u.
- N(E_F): 1.14 states/eV per atom

The structure in CIF format:
```
data_Mg2TiTl
_cell_length_a 6.987
_cell_length_b 6.987
_cell_length_c 6.987
_cell_angle_alpha 90.00
_cell_angle_beta 90.00
_cell_angle_gamma 90.00
_space_group_name_H-M_alt 'F m -3 m'
_space_group_IT_number 225
_space_group_name_Hall '-F 4 2 3'
loop_
_atom_site_label
_atom_site_type_symbol
_atom_site_fract_x
_atom_site_fract_y
_atom_site_fract_z
Mg1 Mg 0.250 0.250 0.250
Ti1 Ti 0.000 0.000 0.000
Tl1 Tl 0.000 0.000 0.500
```

Question: which arrangement is favored energetically? Ranking from most to least stable: 2, 1.

--- 1 ---
VASP calculation (PBE-GGA) on a geometry-optimized BaTcOs structure.

- Spin magnetization: 0.0 μB/f.u.
- N(E_F): 0.84 states/eV per atom

The structure in CIF format:
```
data_BaTcOs
_cell_length_a 4.905
_cell_length_b 4.910
_cell_length_c 10.181
_cell_angle_alpha 92.77
_cell_angle_beta 102.32
_cell_angle_gamma 115.92
_space_group_name_H-M_alt 'P 1'
_space_group_IT_number 1
_space_group_name_Hall 'P 1'
loop_
_atom_site_label
_atom_site_type_symbol
_atom_site_fract_x
_atom_site_fract_y
_atom_site_fract_z
Ba1 Ba 0.000 0.000 0.000
Ba2 Ba 0.091 0.480 0.565
Tc1 Tc 0.258 0.154 0.330
Tc2 Tc 0.715 0.684 0.315
Os1 Os 0.172 0.620 0.243
Os2 Os 0.685 0.143 0.238
```

--- 2 ---
VASP calculation (PBE-GGA) on a geometry-optimized BaTcOs structure.

- Spin magnetization: 0.0 μB/f.u.
- N(E_F): 0.96 states/eV per atom

The structure in CIF format:
```
data_BaTcOs
_cell_length_a 4.1126
_cell_length_b 4.1126
_cell_length_c 16.9741
_cell_angle_alpha 90.00
_cell_angle_beta 90.00
_cell_angle_gamma 120.00
_space_group_name_H-M_alt 'R 3 m'
_space_group_IT_number 160
_space_group_name_Hall 'R 3 -2"'
loop_
_atom_site_label
_atom_site_type_symbol
_atom_site_fract_x
_atom_site_fract_y
_atom_site_fract_z
Ba1 Ba 0.0000 0.0000 0.0000
Tc1 Tc 0.0000 0.0000 0.5015
Os1 Os 0.0000 0.0000 0.1922
```

Question: which arrangement is favored energetically? Ranking from most to least stable: 1, 2.